# 1
First-principles (PBE) data for a relaxed structure of Sm4YTm3, as listed in Alexandria.

```
data_Sm4YTm3
_space_group_name_H-M_alt 'P m m n'
_space_group_IT_number 59
_cell_length_a 5.053
_cell_length_b 10.108
_cell_length_c 10.079
_cell_angle_alpha 90.00
_cell_angle_beta 90.00
_cell_angle_gamma 90.00
loop_
_space_group_symop_operation_xyz
'x,y,z'
'-x,-y,-z'
'-x+1/2,-y+1/2,z'
'x+1/2,y+1/2,-z'
'x+1/2,-y,-z'
'-x+1/2,y,z'
'-x,y+1/2,-z'
'x,-y+1/2,z'
loop_
_atom_site_label
_atom_site_type_symbol
_atom_site_fract_x
_atom_site_fract_y
_atom_site_fract_z
_atom_site_occupancy
Sm1 Sm 0.250 0.001 0.128 1
Sm2 Sm 0.250 0.250 0.873 1
Sm3 Sm 0.250 0.750 0.871 1
Y1 Y 0.250 0.750 0.379 1
Tm1 Tm 0.250 0.000 0.621 1
Tm2 Tm 0.250 0.250 0.378 1
```

Output
The energy of formation comes out at 0.028 eV/atom. For the distance to the lowest polymorph of the same formula, the calculation gives 0.008 eV/atom.



# 2
First-principles (PBE) data for a relaxed structure of Th2Zn3Pd5, as listed in Alexandria.

```
data_Th2Zn3Pd5
_space_group_name_H-M_alt 'I b a m'
_space_group_IT_number 72
_space_group_name_Hall '-I 2 2c'
_cell_length_a 11.387
_cell_length_b 11.437
_cell_length_c 5.851
_cell_angle_alpha 90.00
_cell_angle_beta 90.00
_cell_angle_gamma 90.00
loop_
_atom_site_label
_atom_site_type_symbol
_atom_site_fract_x
_atom_site_fract_y
_atom_site_fract_z
_atom_site_occupancy
Th1 Th 0.220 0.129 0.000 1
Zn1 Zn 0.000 0.500 0.250 1
Zn2 Zn 0.115 0.141 0.500 1
Pd1 Pd 0.000 0.000 0.250 1
Pd2 Pd 0.000 0.276 0.250 1
Pd3 Pd 0.170 0.399 0.000 1
```

Output
The energy of formation comes out at -0.620 eV/atom.



# 3
First-principles (PBE) data for a relaxed structure of FeCuTe2S, as listed in Alexandria.

```
data_FeCuTe2S
_space_group_name_H-M_alt 'P 4/m m m'
_space_group_IT_number 123
_space_group_name_Hall '-P 4 2'
_cell_length_a 5.407
_cell_length_b 5.407
_cell_length_c 4.190
_cell_angle_alpha 90.00
_cell_angle_beta 90.00
_cell_angle_gamma 90.00
loop_
_atom_site_label
_atom_site_type_symbol
_atom_site_fract_x
_atom_site_fract_y
_atom_site_fract_z
_atom_site_occupancy
Fe1 Fe 0.000 0.000 0.000 1
Cu1 Cu 0.500 0.500 0.000 1
Te1 Te 0.000 0.500 0.500 1
S1 S 0.000 0.000 0.500 1
```

Output
For the uncorrected formation energy, the calculation gives 0.7275 eV/atom.



# 4
First-principles (PBE) data for a relaxed structure of Cs2PdPb, as listed in Alexandria.

```
data_Cs2PdPb
_space_group_name_H-M_alt 'F m -3 m'
_space_group_IT_number 225
_space_group_name_Hall '-F 4 2 3'
_cell_length_a 8.955
_cell_length_b 8.955
_cell_length_c 8.955
_cell_angle_alpha 90.00
_cell_angle_beta 90.00
_cell_angle_gamma 90.00
loop_
_atom_site_label
_atom_site_type_symbol
_atom_site_fract_x
_atom_site_fract_y
_atom_site_fract_z
_atom_site_occupancy
Cs1 Cs 0.250 0.250 0.250 1
Pd1 Pd 0.000 0.000 0.000 1
Pb1 Pb 0.000 0.000 0.500 1
```

Output
The energy of formation comes out at 0.413 eV/atom.



# 5
First-principles (PBE) data for a relaxed structure of Nd3Zn7Ga4, as listed in Alexandria.

```
data_Nd3Zn7Ga4
_space_group_name_H-M_alt 'C 1 2/m 1'
_space_group_IT_number 12
_space_group_name_Hall '-C 2y'
_cell_length_a 16.082
_cell_length_b 4.374
_cell_length_c 9.483
_cell_angle_alpha 90.00
_cell_angle_beta 126.05
_cell_angle_gamma 90.00
loop_
_atom_site_label
_atom_site_type_symbol
_atom_site_fract_x
_atom_site_fract_y
_atom_site_fract_z
_atom_site_occupancy
Nd1 Nd 0.000 0.000 0.000 1
Nd2 Nd 0.198 0.500 0.698 1
Zn1 Zn 0.000 0.000 0.500 1
Zn2 Zn 0.001 0.500 0.307 1
Zn3 Zn 0.145 0.000 0.421 1
Zn4 Zn 0.157 0.500 0.019 1
Ga1 Ga 0.143 0.000 0.864 1
Ga2 Ga 0.155 0.500 0.286 1
```

Output
The energy of formation comes out at -0.436 eV/atom.



# 6
First-principles (PBE) data for a relaxed structure of Rb2CrPdCl6, as listed in Alexandria.

```
data_Rb2CrPdCl6
_space_group_name_H-M_alt 'I 4/m m m'
_space_group_IT_number 139
_space_group_name_Hall '-I 4 2'
_cell_length_a 7.371
_cell_length_b 7.371
_cell_length_c 9.094
_cell_angle_alpha 90.00
_cell_angle_beta 90.00
_cell_angle_gamma 90.00
loop_
_atom_site_label
_atom_site_type_symbol
_atom_site_fract_x
_atom_site_fract_y
_atom_site_fract_z
_atom_site_occupancy
Rb1 Rb 0.000 0.500 0.250 1
Cr1 Cr 0.000 0.000 0.000 1
Pd1 Pd 0.000 0.000 0.500 1
Cl1 Cl 0.000 0.000 0.249 1
Cl2 Cl 0.232 0.232 0.000 1
```

Output
For the uncorrected formation energy, the calculation gives -1.1941 eV/atom.



# 7
First-principles (PBE) data for a relaxed structure of PuB3Pt6, as listed in Alexandria.

```
data_PuB3Pt6
_space_group_name_H-M_alt 'C 1 2/m 1'
_space_group_IT_number 12
_space_group_name_Hall '-C 2y'
_cell_length_a 10.464
_cell_length_b 5.543
_cell_length_c 6.034
_cell_angle_alpha 90.00
_cell_angle_beta 120.28
_cell_angle_gamma 90.00
loop_
_atom_site_label
_atom_site_type_symbol
_atom_site_fract_x
_atom_site_fract_y
_atom_site_fract_z
_atom_site_occupancy
Pu1 Pu 0.000 0.000 0.000 1
B1 B 0.000 0.000 0.500 1
B2 B 0.157 0.500 0.000 1
Pt1 Pt 0.077 0.500 0.264 1
Pt2 Pt 0.169 0.248 0.725 1
```

Output
The energy of formation comes out at -0.438 eV/atom.



# 8
First-principles (PBE) data for a relaxed structure of La2Y3Ho9, as listed in Alexandria.

```
data_La2Y3Ho9
_space_group_name_H-M_alt 'P 1'
_space_group_IT_number 1
_space_group_name_Hall 'P 1'
_cell_length_a 6.431
_cell_length_b 8.417
_cell_length_c 8.906
_cell_angle_alpha 88.06
_cell_angle_beta 83.49
_cell_angle_gamma 71.11
loop_
_atom_site_label
_atom_site_type_symbol
_atom_site_fract_x
_atom_site_fract_y
_atom_site_fract_z
_atom_site_occupancy
La1 La 0.000 0.000 0.000 1
La2 La 0.151 0.655 0.190 1
Y1 Y 0.335 0.114 0.743 1
Y2 Y 0.528 0.313 0.023 1
Y3 Y 0.674 0.619 0.396 1
Ho1 Ho 0.068 0.268 0.236 1
Ho2 Ho 0.193 0.922 0.445 1
Ho3 Ho 0.214 0.460 0.527 1
Ho4 Ho 0.396 0.672 0.773 1
Ho5 Ho 0.541 0.870 0.068 1
Ho6 Ho 0.630 0.082 0.365 1
Ho7 Ho 0.796 0.269 0.644 1
Ho8 Ho 0.827 0.839 0.687 1
Ho9 Ho 0.951 0.492 0.902 1
```

Output
The energy of formation comes out at 0.087 eV/atom.



# 9
First-principles (PBE) data for a relaxed structure of RbBaP2, as listed in Alexandria.

```
data_RbBaP2
_space_group_name_H-M_alt 'I -4 2 d'
_space_group_IT_number 122
_space_group_name_Hall 'I -4 2bw'
_cell_length_a 5.402
_cell_length_b 5.402
_cell_length_c 21.447
_cell_angle_alpha 90.00
_cell_angle_beta 90.00
_cell_angle_gamma 90.00
loop_
_atom_site_label
_atom_site_type_symbol
_atom_site_fract_x
_atom_site_fract_y
_atom_site_fract_z
_atom_site_occupancy
Rb1 Rb 0.000 0.000 0.000 1
Ba1 Ba 0.000 0.000 0.500 1
P1 P 0.065 0.250 0.625 1
```

Output
The energy of formation comes out at 0.027 eV/atom. For the distance to the lowest polymorph of the same formula, the calculation gives 0.095 eV/atom.



# 10
First-principles (PBE) data for a relaxed structure of BaZnGaTc2, as listed in Alexandria.

```
data_BaZnGaTc2
_space_group_name_H-M_alt 'P 4/m m m'
_space_group_IT_number 123
_space_group_name_Hall '-P 4 2'
_cell_length_a 4.862
_cell_length_b 4.862
_cell_length_c 5.712
_cell_angle_alpha 90.00
_cell_angle_beta 90.00
_cell_angle_gamma 90.00
loop_
_atom_site_label
_atom_site_type_symbol
_atom_site_fract_x
_atom_site_fract_y
_atom_site_fract_z
_atom_site_occupancy
Ba1 Ba 0.000 0.000 0.000 1
Zn1 Zn 0.000 0.000 0.500 1
Ga1 Ga 0.500 0.500 0.000 1
Tc1 Tc 0.000 0.500 0.500 1
```

Output
The energy of formation comes out at 1.307 eV/atom.



# 11
First-principles (PBE) data for a relaxed structure of LiPtSe2, as listed in Alexandria.

```
data_LiPtSe2
_space_group_name_H-M_alt 'I m m 2'
_space_group_IT_number 44
_space_group_name_Hall 'I 2 -2'
_cell_length_a 3.531
_cell_length_b 3.649
_cell_length_c 11.383
_cell_angle_alpha 90.00
_cell_angle_beta 90.00
_cell_angle_gamma 90.00
loop_
_atom_site_label
_atom_site_type_symbol
_atom_site_fract_x
_atom_site_fract_y
_atom_site_fract_z
_atom_site_occupancy
Li1 Li 0.000 0.000 0.000 1
Pt1 Pt 0.000 0.500 0.211 1
Se1 Se 0.000 0.000 0.552 1
Se2 Se 0.000 0.500 0.806 1
```

Output
For the uncorrected formation energy, the calculation gives -0.3345 eV/atom.



Across the entries above, DOS(E_F) takes the values 12.711; 3.559; 2.800; 2.518; 3.861; 0.378; 15.862; 23.039; 4.129; 4.252; 2.867 states/eV/f.u., respectively.